No. 1
Below is crystalline Li2LaOs at its relaxed geometry, with properties calculated at the PBE level.

a b c (Å): 4.5254 4.5254 13.4118
angles (deg): 90.00 90.00 120.00
Positions (direct):
Li1 0.0000 0.0000 0.0000
Li2 0.0000 0.0000 0.2875
Li3 0.3333 0.6667 0.6667
Li4 0.3333 0.6667 0.9542
Li5 0.6667 0.3333 0.3333
Li6 0.6667 0.3333 0.6209
La1 0.0000 0.0000 0.7925
La2 0.3333 0.6667 0.4591
La3 0.6667 0.3333 0.1258
Os1 0.0000 0.0000 0.5920
Os2 0.3333 0.6667 0.2586
Os3 0.6667 0.3333 0.9253

Properties
formation enthalpy at 0 K	220.0	meV/atom
crystal system	trigonal
size of the total moment	0.000	μB per atom
calculated density	7.18	Mg/m³
energy	-57.31	eV per cell
symmetry	R3m, No. 160

No. 2
Below is crystalline Li2LaOs at its relaxed geometry, with properties calculated at the PBE level.

a b c (Å): 6.5359 6.5359 6.5359
angles (deg): 90.00 90.00 90.00
Positions (direct):
Li1 0.2500 0.2500 0.2500
Li2 0.2500 0.2500 0.7500
Li3 0.2500 0.7500 0.2500
Li4 0.2500 0.7500 0.7500
Li5 0.7500 0.2500 0.2500
Li6 0.7500 0.2500 0.7500
Li7 0.7500 0.7500 0.2500
Li8 0.7500 0.7500 0.7500
La1 0.0000 0.0000 0.0000
La2 0.0000 0.5000 0.5000
La3 0.5000 0.0000 0.5000
La4 0.5000 0.5000 0.0000
Os1 0.0000 0.0000 0.5000
Os2 0.0000 0.5000 0.0000
Os3 0.5000 0.0000 0.0000
Os4 0.5000 0.5000 0.5000

Properties
formation enthalpy at 0 K	289.0	meV/atom
crystal system	cubic
size of the total moment	0.000	μB per atom
calculated density	8.16	Mg/m³
energy	-75.32	eV per cell
symmetry	Fm-3m, No. 225

No. 3
Below is crystalline Li2LaOs at its relaxed geometry, with properties calculated at the PBE level.

a b c (Å): 2.9562 4.9113 5.3518
angles (deg): 90.00 101.68 90.00
Positions (direct):
Li1 0.2055 0.0000 0.3096
Li2 0.7945 0.0000 0.6904
La1 0.5000 0.5000 0.0000
Os1 0.0000 0.5000 0.5000

Properties
formation enthalpy at 0 K	218.2	meV/atom
crystal system	monoclinic
size of the total moment	0.000	μB per atom
calculated density	7.49	Mg/m³
energy	-19.11	eV per cell
symmetry	P2/m, No. 10

No. 4
Below is crystalline LiLa2Os at its relaxed geometry, with properties calculated at the PBE level.

a b c (Å): 7.2684 7.2684 7.2684
angles (deg): 90.00 90.00 90.00
Positions (direct):
Li1 0.0000 0.0000 0.0000
Li2 0.0000 0.5000 0.5000
Li3 0.5000 0.0000 0.5000
Li4 0.5000 0.5000 0.0000
La1 0.2500 0.2500 0.2500
La2 0.2500 0.2500 0.7500
La3 0.2500 0.7500 0.2500
La4 0.2500 0.7500 0.7500
La5 0.7500 0.2500 0.2500
La6 0.7500 0.2500 0.7500
La7 0.7500 0.7500 0.2500
La8 0.7500 0.7500 0.7500
Os1 0.0000 0.0000 0.5000
Os2 0.0000 0.5000 0.0000
Os3 0.5000 0.0000 0.0000
Os4 0.5000 0.5000 0.5000

Properties
formation enthalpy at 0 K	-57.7	meV/atom
crystal system	cubic
size of the total moment	0.000	μB per atom
calculated density	8.22	Mg/m³
energy	-92.92	eV per cell
symmetry	Fm-3m, No. 225

No. 5
Below is crystalline LiLa2Os at its relaxed geometry, with properties calculated at the PBE level.

a b c (Å): 8.1018 8.1018 6.6021
angles (deg): 90.00 90.00 90.00
Positions (direct):
Li1 0.0000 0.0000 0.0000
Li2 0.0000 0.5000 0.2500
Li3 0.5000 0.0000 0.7500
Li4 0.5000 0.5000 0.5000
La1 0.2050 0.2500 0.6250
La2 0.2500 0.7050 0.8750
La3 0.2500 0.7950 0.3750
La4 0.2950 0.2500 0.1250
La5 0.7050 0.7500 0.1250
La6 0.7500 0.2050 0.3750
La7 0.7500 0.2950 0.8750
La8 0.7950 0.7500 0.6250
Os1 0.0000 0.0000 0.5000
Os2 0.0000 0.5000 0.7500
Os3 0.5000 0.0000 0.2500
Os4 0.5000 0.5000 0.0000

Properties
formation enthalpy at 0 K	216.2	meV/atom
crystal system	tetragonal
size of the total moment	0.000	μB per atom
calculated density	7.28	Mg/m³
energy	-88.53	eV per cell
symmetry	I-42d, No. 122

No. 6
Below is crystalline LiLa4Os at its relaxed geometry, with properties calculated at the PBE level.

a b c (Å): 8.9969 8.9969 6.9296
angles (deg): 105.87 105.87 117.36
Positions (direct):
Li1 0.1109 0.8891 0.7500
Li2 0.8891 0.1109 0.2500
La1 0.1360 0.5579 0.3501
La2 0.2344 0.3357 0.7871
La3 0.3357 0.2344 0.2871
La4 0.4421 0.8640 0.1499
La5 0.5579 0.1360 0.8501
La6 0.6643 0.7656 0.7129
La7 0.7656 0.6643 0.2129
La8 0.8640 0.4421 0.6499
Os1 0.4172 0.5828 0.2500
Os2 0.5828 0.4172 0.7500

Properties
formation enthalpy at 0 K	23.8	meV/atom
crystal system	monoclinic
size of the total moment	0.000	μB per atom
calculated density	5.90	Mg/m³
energy	-65.42	eV per cell
symmetry	C2/c, No. 15

No. 7
Below is crystalline Li2LaOs at its relaxed geometry, with properties calculated at the PBE level.

a b c (Å): 5.6302 8.7247 2.8955
angles (deg): 90.00 90.00 90.00
Positions (direct):
Li1 0.2500 0.2500 0.0000
Li2 0.2500 0.7500 0.0000
Li3 0.7500 0.2500 0.0000
Li4 0.7500 0.7500 0.0000
La1 0.0000 0.0000 0.5000
La2 0.5000 0.5000 0.5000
Os1 0.0000 0.5000 0.5000
Os2 0.5000 0.0000 0.5000

Properties
formation enthalpy at 0 K	421.3	meV/atom
crystal system	orthorhombic
size of the total moment	0.000	μB per atom
calculated density	8.01	Mg/m³
energy	-36.60	eV per cell
symmetry	Cmmm, No. 65

No. 8
Below is crystalline LiLaOs2 at its relaxed geometry, with properties calculated at the PBE level.

a b c (Å): 5.5044 9.5863 2.9115
angles (deg): 90.00 116.75 90.00
Positions (direct):
Li1 0.0000 0.0000 0.0000
Li2 0.5000 0.5000 0.0000
La1 0.0000 0.5000 0.0000
La2 0.5000 0.0000 0.0000
Os1 0.2500 0.2500 0.5000
Os2 0.2500 0.7500 0.5000
Os3 0.7500 0.2500 0.5000
Os4 0.7500 0.7500 0.5000

Properties
formation enthalpy at 0 K	409.6	meV/atom
crystal system	monoclinic
size of the total moment	0.000	μB per atom
calculated density	12.74	Mg/m³
energy	-55.32	eV per cell
symmetry	C2/m, No. 12

No. 9
Below is crystalline Li3LaOs at its relaxed geometry, with properties calculated at the PBE level.

a b c (Å): 4.7004 4.7004 4.7004
angles (deg): 90.00 90.00 90.00
Positions (direct):
Li1 0.0000 0.0000 0.5000
Li2 0.0000 0.5000 0.0000
Li3 0.5000 0.0000 0.0000
La1 0.5000 0.5000 0.5000
Os1 0.0000 0.0000 0.0000

Properties
formation enthalpy at 0 K	631.4	meV/atom
crystal system	cubic
size of the total moment	0.000	μB per atom
calculated density	5.60	Mg/m³
energy	-18.74	eV per cell
symmetry	Pm-3m, No. 221

No. 10
Below is crystalline Li2LaOs at its relaxed geometry, with properties calculated at the PBE level.

a b c (Å): 3.4179 3.4179 7.2771
angles (deg): 90.00 90.00 90.00
Positions (direct):
Li1 0.0000 0.0000 0.0000
Li2 0.5000 0.5000 0.1914
La1 0.5000 0.5000 0.5959
Os1 0.0000 0.0000 0.3717

Properties
formation enthalpy at 0 K	205.5	meV/atom
crystal system	tetragonal
size of the total moment	0.000	μB per atom
calculated density	6.70	Mg/m³
energy	-19.16	eV per cell
symmetry	P4mm, No. 99

No. 11
Below is crystalline LiLa4Os at its relaxed geometry, with properties calculated at the PBE level.

a b c (Å): 6.2383 6.2383 6.2383
angles (deg): 60.00 60.00 60.00
Positions (direct):
Li1 0.0000 0.0000 0.0000
La1 0.3772 0.3772 0.3772
La2 0.3772 0.3772 0.8683
La3 0.3772 0.8683 0.3772
La4 0.8683 0.3772 0.3772
Os1 0.7500 0.7500 0.7500

Properties
formation enthalpy at 0 K	865.7	meV/atom
crystal system	cubic
size of the total moment	0.000	μB per atom
calculated density	7.28	Mg/m³
energy	-27.66	eV per cell
symmetry	F-43m, No. 216

No. 12
Below is crystalline LiLa2Os at its relaxed geometry, with properties calculated at the PBE level.

a b c (Å): 4.4508 4.4508 9.1032
angles (deg): 90.00 90.00 90.00
Positions (direct):
Li1 0.0000 0.0000 0.0000
Li2 0.5000 0.5000 0.5000
La1 0.0000 0.0000 0.5000
La2 0.0000 0.5000 0.2500
La3 0.5000 0.0000 0.7500
La4 0.5000 0.5000 0.0000
Os1 0.0000 0.5000 0.7500
Os2 0.5000 0.0000 0.2500

Properties
formation enthalpy at 0 K	197.2	meV/atom
crystal system	tetragonal
size of the total moment	0.000	μB per atom
calculated density	8.75	Mg/m³
energy	-44.42	eV per cell
symmetry	I-4m2, No. 119

Q: Look up the formation enthalpy at 0 K of the third one.
A: 218.2 meV/atom

Q: Number 7 is which compound?
A: Li2LaOs

Q: Among the records above, which one has the highest calculated density?
A: LiLaOs2

Q: Number 5 is which compound?
A: LiLa2Os